[1]
Computed, not measured: Cs3KH6Au2 after structural relaxation at the PBE level of DFT.

The mass density is 4.61 g cm⁻³. For the total energy, the calculation gives -2.746 eV/atom.

The structure belongs to space group P-3m1 (No. 164); the cell edges are 6.6774, 6.6774 and 7.8182 Å and the angles 90.00°, 90.00° and 120.00°. The asymmetric unit holds Cs at (0.0000, 0.0000, 0.0000), Cs at (0.3333, 0.6667, 0.7166), K at (0.0000, 0.0000, 0.5000), H at (0.1826, 0.3652, 0.2748) and Au at (0.3333, 0.6667, 0.2721).

***

[2]
Computed, not measured: CsK2H4Au after structural relaxation at the PBE level of DFT.

The mass density is 4.02 g cm⁻³. For the total energy, the calculation gives -2.640 eV/atom.

The structure belongs to space group I-42m (No. 121); the cell edges are 6.4127, 6.4127 and 8.2871 Å and the angles 90.00°, 90.00° and 90.00°. The asymmetric unit holds Cs at (0.0000, 0.0000, 0.0000), K at (0.0000, 0.5000, 0.2500), H at (0.1638, 0.1638, 0.6184) and Au at (0.0000, 0.0000, 0.5000).

***

[3]
Computed, not measured: CsKHAu after structural relaxation at the PBE level of DFT.

The mass density is 4.67 g cm⁻³. For the total energy, the calculation gives -2.271 eV/atom.

The structure belongs to space group F-43m (No. 216); the cell edges are 8.0747, 8.0747 and 8.0747 Å and the angles 90.00°, 90.00° and 90.00°. The asymmetric unit holds Cs at (0.0000, 0.0000, 0.0000), K at (0.0000, 0.0000, 0.5000), H at (0.2500, 0.2500, 0.7500) and Au at (0.2500, 0.2500, 0.2500).

***

[4]
Computed, not measured: CsK2HAu after structural relaxation at the PBE level of DFT.

The mass density is 3.45 g cm⁻³. For the total energy, the calculation gives -2.086 eV/atom.

The structure belongs to space group Cmcm (No. 63); the cell edges are 4.8401, 18.1850 and 8.9546 Å and the angles 90.00°, 90.00° and 90.00°. The asymmetric unit holds Cs at (0.0000, 0.0029, 0.2500), K at (0.0000, 0.3419, 0.5029), H at (0.0000, 0.5000, 0.0000) and Au at (0.0000, 0.1983, 0.2500).

***

[5]
Computed, not measured: Cs6K2HAu2 after structural relaxation at the PBE level of DFT.

The mass density is 2.90 g cm⁻³. For the total energy, the calculation gives -1.684 eV/atom.

The structure belongs to space group C2/m (No. 12); the cell edges are 8.7420, 15.4167 and 10.7935 Å and the angles 90.00°, 91.64° and 90.00°. The asymmetric unit holds Cs at (0.1432, 0.1508, 0.3252), Cs at (0.1912, 0.5000, 0.3337), K at (0.0000, 0.3370, 0.0000), H at (0.0000, 0.0000, 0.5000) and Au at (0.0000, 0.3315, 0.5000).

***

[6]
Computed, not measured: CsK2HAu after structural relaxation at the PBE level of DFT.

The mass density is 3.91 g cm⁻³. For the total energy, the calculation gives -2.078 eV/atom.

The structure belongs to space group P4/mmm (No. 123); the cell edges are 5.3694, 5.3694 and 6.0297 Å and the angles 90.00°, 90.00° and 90.00°. The asymmetric unit holds Cs at (0.0000, 0.0000, 0.0000), K at (0.0000, 0.5000, 0.5000), H at (0.0000, 0.0000, 0.5000) and Au at (0.5000, 0.5000, 0.0000).

***

[7]
Computed, not measured: CsKH2Au after structural relaxation at the PBE level of DFT.

The mass density is 3.63 g cm⁻³. For the total energy, the calculation gives -2.580 eV/atom.

The structure belongs to space group Cmme (No. 67); the cell edges are 9.8330, 14.1868 and 4.8610 Å and the angles 90.00°, 90.00° and 90.00°. The asymmetric unit holds Cs at (0.0000, 0.2500, 0.1596), K at (0.2500, 0.0000, 0.5000), H at (0.0000, 0.0744, 0.7351) and Au at (0.0000, 0.0000, 0.0000).

***

[8]
Computed, not measured: Cs2KH6Au2 after structural relaxation at the PBE level of DFT.

The mass density is 4.99 g cm⁻³. For the total energy, the calculation gives -2.796 eV/atom.

The structure belongs to space group C2/m (No. 12); the cell edges are 12.3965, 6.2361 and 7.7804 Å and the angles 90.00°, 128.81° and 90.00°. The asymmetric unit holds Cs at (0.2128, 0.0000, 0.2121), K at (0.0000, 0.0000, 0.5000), H at (0.0006, 0.2337, 0.2187), H at (0.1392, 0.5000, 0.1379) and Au at (0.0005, 0.5000, 0.1928).

***

[9]
Computed, not measured: CsLaH6Au2 after structural relaxation at the PBE level of DFT.

The mass density is 6.57 g cm⁻³. For the total energy, the calculation gives -3.532 eV/atom.

The structure belongs to space group C2/c (No. 15); the cell edges are 9.1042, 11.1091 and 7.2611 Å and the angles 90.00°, 112.34° and 90.00°. The asymmetric unit holds Cs at (0.0000, 0.1673, 0.2500), La at (0.0000, 0.4252, 0.7500), H at (0.0433, 0.4113, 0.4509), H at (0.1550, 0.2563, 0.6777), H at (0.2105, 0.0379, 0.0123) and Au at (0.1814, 0.1495, 0.8490).

***

[10]
Computed, not measured: Cs2LiH6Au2 after structural relaxation at the PBE level of DFT.

The mass density is 4.99 g cm⁻³. For the total energy, the calculation gives -2.890 eV/atom.

The structure belongs to space group C2/m (No. 12); the cell edges are 13.2969, 5.4366 and 7.4818 Å and the angles 90.00°, 124.14° and 90.00°. The asymmetric unit holds Cs at (0.1821, 0.0000, 0.1754), Li at (0.0000, 0.0000, 0.5000), H at (0.0143, 0.1945, 0.3146), H at (0.1105, 0.5000, 0.2247) and Au at (0.0274, 0.5000, 0.3377).

***

[11]
Computed, not measured: CsLiH6Au2 after structural relaxation at the PBE level of DFT.

The mass density is 6.13 g cm⁻³. For the total energy, the calculation gives -3.051 eV/atom.

The structure belongs to space group C2/c (No. 15); the cell edges are 9.8131, 10.2777 and 6.0024 Å and the angles 90.00°, 105.10° and 90.00°. The asymmetric unit holds Cs at (0.0000, 0.1275, 0.2500), Li at (0.0000, 0.4932, 0.7500), H at (0.0464, 0.3700, 0.0075), H at (0.1075, 0.1635, 0.7868), H at (0.2246, 0.4854, 0.3038) and Au at (0.2244, 0.3618, 0.1141).

***

[12]
Computed, not measured: Cs2LiHAu after structural relaxation at the PBE level of DFT.

The mass density is 4.73 g cm⁻³. For the total energy, the calculation gives -2.137 eV/atom.

The structure belongs to space group P4/mmm (No. 123); the cell edges are 6.3163, 6.3163 and 4.1411 Å and the angles 90.00°, 90.00° and 90.00°. The asymmetric unit holds Cs at (0.0000, 0.5000, 0.0000), Li at (0.0000, 0.0000, 0.5000), H at (0.0000, 0.0000, 0.0000) and Au at (0.5000, 0.5000, 0.5000).